Record 1
8
Lattice="-0.7417 -2.9314 2.7216 -2.6963 -1.8695 -2.7485 10.0560 -5.2767 -2.9431" Properties=species:S:1:pos:R:3 comment="Pm2GeP PBE optimized geometry" magnetic_moment_mub_per_cell=0.0 dft_energy_ev_per_atom=-6.101 e_above_lowest_polymorph_ev_per_atom=0.0000 ef_kcal_per_mol_atoms=-28.10 pbc="T T T"
Ge 7.8396 -6.4573 -3.2984
Ge -1.2216 -3.6204 0.3284
P 3.0930 -3.0715 -0.9451
P 3.5250 -7.0062 -2.0249
Pm 0.9906 -1.5717 0.0973
Pm 5.6274 -8.5060 -3.0673
Pm 1.3817 -5.4774 -0.9623
Pm 5.2363 -4.6003 -2.0077

Record 2
7
Lattice="-0.5424 -4.2221 2.4736 4.6075 0.3974 1.6887 -4.9206 6.2957 4.7674" Properties=species:S:1:pos:R:3 comment="Sr4SbAsO PBE optimized geometry" magnetic_moment_mub_per_cell=0.0 dft_energy_ev_per_atom=-4.524 e_form_raw_ev_per_fu=-11.21 pbc="T T T"
Sr -0.2944 -2.0758 1.2919
Sr 0.2213 0.8367 6.3762
Sr 2.2805 0.2340 0.8994
Sr -0.9525 1.4456 2.2587
O -0.1138 0.1728 0.2700
Sb -2.0842 3.1632 4.9422
As 1.2646 -0.7468 3.9021

Record 3
18
Lattice="-3.3523 -4.3637 -0.3223 3.7261 1.3967 -10.5301 8.2221 -6.4679 2.0515" Properties=species:S:1:pos:R:3 comment="La5SmYHo2 PBE optimized geometry" magnetic_moment_mub_per_cell=0.0 dft_energy_ev_per_atom=-4.869 ef_kcal_per_mol_atoms=2.96 pbc="T T T"
La 4.1779 -3.2863 1.0388
La 0.8643 -3.8149 -4.4742
La 4.5566 -7.0845 1.3909
La 3.0042 -5.6606 -1.7414
La 3.7601 -2.4966 -5.3075
La 4.1705 -2.4535 -10.1592
La 0.4394 -3.0188 -10.8325
La 6.8910 -4.9587 -4.5365
La 1.6135 -0.6448 -8.0522
La 5.9593 -7.8221 -3.2132
Ho 6.7069 -5.0888 -0.8609
Ho 6.1333 -7.6842 -6.8894
Ho 2.0422 -4.4666 -7.9018
Ho 2.5729 -1.8374 -1.8840
Y 5.8158 -3.9138 -7.5002
Y -1.1974 -2.3921 -2.2932
Sm 0.9449 -0.3902 -4.5446
Sm 3.6803 -5.9210 -5.2471

Record 4
16
Lattice="-6.6046 3.1970 0.8587 -3.8894 -6.3955 -6.1045 0.3007 -1.9200 9.4613" Properties=species:S:1:pos:R:3 comment="Ac10Ge3Pb3 PBE optimized geometry" magnetic_moment_mub_per_cell=0.0 dft_energy_ev_per_atom=-4.638 ef_kcal_per_mol_atoms=-11.74 pbc="T T T"
Ge -3.1846 0.8472 4.1318
Ge -5.4866 -3.4629 2.4726
Ge -4.8243 -0.9042 -1.9595
Ac -3.0749 0.1463 7.5856
Ac -7.3623 -2.5465 -0.2828
Ac 0.0732 -0.4671 2.3020
Ac -4.1766 -0.4274 1.2472
Ac -6.2441 -3.2388 -4.1879
Ac -0.9463 -1.5561 -1.4853
Ac -2.8310 -2.5720 4.4983
Ac -2.7155 -6.2922 2.5401
Ac -4.2277 -4.0638 -0.6903
Ac -5.9656 -1.0546 4.9058
Pb -1.4284 -3.3099 1.3362
Pb 0.1810 -1.1557 5.6954
Pb -2.3412 -3.8498 -3.6746